# 1
# Tb8Nd2Hg, relaxed, DFT PBE
# Magnetization (μB/cell): 0.0
# Space group: No. 12
# E (Ry per atom): -0.31618
# Distance to the lowest polymorph of the same formula (eV per atom): 0.0000
data_Tb8Nd2Hg
_cell_length_a 10.106
_cell_length_b 10.106
_cell_length_c 6.459
_cell_angle_alpha 94.89
_cell_angle_beta 94.89
_cell_angle_gamma 32.20
_symmetry_space_group_name_H-M 'P 1'
_symmetry_Int_Tables_number 1
loop_
_symmetry_equiv_pos_as_xyz
'x,y,z'
loop_
_atom_site_label
_atom_site_fract_x
_atom_site_fract_y
_atom_site_fract_z
Tb1 0.042 0.042 0.265
Tb2 0.153 0.153 0.804
Tb3 0.342 0.342 0.878
Tb4 0.422 0.422 0.396
Tb5 0.578 0.578 0.604
Tb6 0.658 0.658 0.122
Tb7 0.847 0.847 0.196
Tb8 0.958 0.958 0.735
Nd1 0.243 0.243 0.331
Nd2 0.757 0.757 0.669
Hg1 0.500 0.500 0.000

=====

# 2
# Cs2CeSe4, relaxed, DFT PBE
# Magnetization (μB/cell): 0.1
# Space group: No. 10
# E (Ry per atom): -0.31219
# Energy relative to the elements, uncorrected (eV per atom): -1.165
data_Cs2CeSe4
_cell_length_a 7.911
_cell_length_b 4.424
_cell_length_c 8.729
_cell_angle_alpha 90.00
_cell_angle_beta 111.08
_cell_angle_gamma 90.00
_symmetry_space_group_name_H-M 'P 1'
_symmetry_Int_Tables_number 1
loop_
_symmetry_equiv_pos_as_xyz
'x,y,z'
loop_
_atom_site_label
_atom_site_fract_x
_atom_site_fract_y
_atom_site_fract_z
Cs1 0.191 0.000 0.328
Cs2 0.809 0.000 0.672
Ce1 0.500 0.500 0.000
Se1 0.109 0.500 0.934
Se2 0.415 0.000 0.774
Se3 0.585 0.000 0.226
Se4 0.891 0.500 0.066

=====

# 3
# LaThPS, relaxed, DFT PBE
# Magnetization (μB/cell): 0.0
# Space group: No. 123
# E (Ry per atom): -0.53668
# Energy relative to the elements, uncorrected (eV per atom): -1.831
data_LaThPS
_cell_length_a 4.143
_cell_length_b 4.143
_cell_length_c 5.876
_cell_angle_alpha 90.00
_cell_angle_beta 90.00
_cell_angle_gamma 90.00
_symmetry_space_group_name_H-M 'P 1'
_symmetry_Int_Tables_number 1
loop_
_symmetry_equiv_pos_as_xyz
'x,y,z'
loop_
_atom_site_label
_atom_site_fract_x
_atom_site_fract_y
_atom_site_fract_z
La1 0.000 0.000 0.000
Th1 0.500 0.500 0.500
P1 0.000 0.000 0.500
S1 0.500 0.500 0.000

=====

# 4
# RbCrCl3, relaxed, DFT PBE
# Magnetization (μB/cell): 8.0
# Space group: No. 12
# E (Ry per atom): -0.33758
# Energy relative to the elements, uncorrected (eV per atom): -1.367
data_RbCrCl3
_cell_length_a 7.161
_cell_length_b 7.161
_cell_length_c 6.387
_cell_angle_alpha 93.81
_cell_angle_beta 93.81
_cell_angle_gamma 59.64
_symmetry_space_group_name_H-M 'P 1'
_symmetry_Int_Tables_number 1
loop_
_symmetry_equiv_pos_as_xyz
'x,y,z'
loop_
_atom_site_label
_atom_site_fract_x
_atom_site_fract_y
_atom_site_fract_z
Rb1 0.167 0.167 0.235
Rb2 0.833 0.833 0.765
Cr1 0.500 0.500 0.000
Cr2 0.500 0.500 0.500
Cl1 0.188 0.657 0.213
Cl2 0.337 0.337 0.670
Cl3 0.343 0.812 0.787
Cl4 0.657 0.188 0.213
Cl5 0.663 0.663 0.330
Cl6 0.812 0.343 0.787

=====

# 5
# Na2LaIn, relaxed, DFT PBE
# Magnetization (μB/cell): 0.3
# Space group: No. 166
# E (Ry per atom): -0.18028
data_Na2LaIn
_cell_length_a 12.826
_cell_length_b 12.826
_cell_length_c 12.826
_cell_angle_alpha 15.40
_cell_angle_beta 15.40
_cell_angle_gamma 15.40
_symmetry_space_group_name_H-M 'P 1'
_symmetry_Int_Tables_number 1
loop_
_symmetry_equiv_pos_as_xyz
'x,y,z'
loop_
_atom_site_label
_atom_site_fract_x
_atom_site_fract_y
_atom_site_fract_z
Na1 0.093 0.093 0.093
Na2 0.907 0.907 0.907
La1 0.000 0.000 0.000
In1 0.500 0.500 0.500

=====

# 6
# PmPd2Au3, relaxed, DFT PBE
# Magnetization (μB/cell): 0.0
# Space group: No. 166
# E (Ry per atom): -0.33818
# Distance to the lowest polymorph of the same formula (eV per atom): 0.0429
data_PmPd2Au3
_cell_length_a 7.909
_cell_length_b 7.909
_cell_length_c 7.909
_cell_angle_alpha 45.49
_cell_angle_beta 45.49
_cell_angle_gamma 45.49
_symmetry_space_group_name_H-M 'P 1'
_symmetry_Int_Tables_number 1
loop_
_symmetry_equiv_pos_as_xyz
'x,y,z'
loop_
_atom_site_label
_atom_site_fract_x
_atom_site_fract_y
_atom_site_fract_z
Pm1 0.226 0.226 0.226
Pm2 0.774 0.774 0.774
Pd1 0.000 0.000 0.000
Pd2 0.000 0.500 0.500
Pd3 0.500 0.000 0.500
Pd4 0.500 0.500 0.000
Au1 0.233 0.723 0.723
Au2 0.277 0.277 0.767
Au3 0.277 0.767 0.277
Au4 0.723 0.233 0.723
Au5 0.723 0.723 0.233
Au6 0.767 0.277 0.277

=====

# 7
# Pu2B2N3, relaxed, DFT PBE
# Magnetization (μB/cell): 10.4
# Space group: No. 12
# E (Ry per atom): -0.75786
# Energy relative to the elements, uncorrected (eV per atom): -0.740
data_Pu2B2N3
_cell_length_a 5.757
_cell_length_b 5.757
_cell_length_c 4.977
_cell_angle_alpha 94.56
_cell_angle_beta 94.56
_cell_angle_gamma 28.12
_symmetry_space_group_name_H-M 'P 1'
_symmetry_Int_Tables_number 1
loop_
_symmetry_equiv_pos_as_xyz
'x,y,z'
loop_
_atom_site_label
_atom_site_fract_x
_atom_site_fract_y
_atom_site_fract_z
Pu1 0.140 0.140 0.232
Pu2 0.860 0.860 0.768
B1 0.399 0.399 0.299
B2 0.601 0.601 0.701
N1 0.169 0.169 0.749
N2 0.500 0.500 0.500
N3 0.831 0.831 0.251

=====

# 8
# HgPd7Au2, relaxed, DFT PBE
# Magnetization (μB/cell): 0.0
# Space group: No. 65
# E (Ry per atom): -0.28656
data_HgPd7Au2
_cell_length_a 7.641
_cell_length_b 7.641
_cell_length_c 4.394
_cell_angle_alpha 90.00
_cell_angle_beta 90.00
_cell_angle_gamma 123.43
_symmetry_space_group_name_H-M 'P 1'
_symmetry_Int_Tables_number 1
loop_
_symmetry_equiv_pos_as_xyz
'x,y,z'
loop_
_atom_site_label
_atom_site_fract_x
_atom_site_fract_y
_atom_site_fract_z
Hg1 0.000 0.000 0.000
Pd1 0.077 0.286 0.500
Pd2 0.196 0.804 0.000
Pd3 0.286 0.077 0.500
Pd4 0.500 0.500 0.500
Pd5 0.714 0.923 0.500
Pd6 0.804 0.196 0.000
Pd7 0.923 0.714 0.500
Au1 0.300 0.700 0.500
Au2 0.700 0.300 0.500

=====

Question: Which of these has the lowest E?
Answer: Pu2B2N3

=====

Question: Which value of E does entry 7 give?
Answer: -0.75786 Ry per atom

=====

Question: Number 7 is which compound?
Answer: Pu2B2N3